# 1
A plane-wave DFT calculation with PBE was carried out for a geometry-optimized La4Tb9Ho11 structure.

E = -4.582 eV per atom
SG = No. 65

```
data_La4Tb9Ho11
_cell_length_a 15.116
_cell_length_b 15.116
_cell_length_c 3.715
_cell_angle_alpha 90.00
_cell_angle_beta 90.00
_cell_angle_gamma 112.57
_symmetry_space_group_name_H-M 'P 1'
_symmetry_Int_Tables_number 1
loop_
_symmetry_equiv_pos_as_xyz
'x,y,z'
loop_
_atom_site_label
_atom_site_fract_x
_atom_site_fract_y
_atom_site_fract_z
La1 0.054 0.252 0.000
La2 0.252 0.054 0.000
La3 0.748 0.946 0.000
La4 0.946 0.748 0.000
Tb1 0.000 0.000 0.000
Tb2 0.135 0.661 0.000
Tb3 0.289 0.436 0.000
Tb4 0.339 0.865 0.000
Tb5 0.436 0.289 0.000
Tb6 0.564 0.711 0.000
Tb7 0.661 0.135 0.000
Tb8 0.711 0.564 0.000
Tb9 0.865 0.339 0.000
Ho1 0.093 0.455 0.500
Ho2 0.139 0.861 0.500
Ho3 0.220 0.220 0.500
Ho4 0.341 0.659 0.500
Ho5 0.455 0.093 0.500
Ho6 0.500 0.500 0.500
Ho7 0.545 0.907 0.500
Ho8 0.659 0.341 0.500
Ho9 0.780 0.780 0.500
Ho10 0.861 0.139 0.500
Ho11 0.907 0.545 0.500
```

# 2
A plane-wave DFT calculation with PBE was carried out for a geometry-optimized La2SmTm5 structure.

E = -4.471 eV per atom
SG = No. 63

```
data_La2SmTm5
_cell_length_a 6.315
_cell_length_b 6.315
_cell_length_c 16.604
_cell_angle_alpha 90.00
_cell_angle_beta 90.00
_cell_angle_gamma 126.89
_symmetry_space_group_name_H-M 'P 1'
_symmetry_Int_Tables_number 1
loop_
_symmetry_equiv_pos_as_xyz
'x,y,z'
loop_
_atom_site_label
_atom_site_fract_x
_atom_site_fract_y
_atom_site_fract_z
La1 0.222 0.778 0.635
La2 0.222 0.778 0.865
La3 0.778 0.222 0.135
La4 0.778 0.222 0.365
Sm1 0.202 0.798 0.250
Sm2 0.798 0.202 0.750
Tm1 0.090 0.910 0.071
Tm2 0.090 0.910 0.429
Tm3 0.392 0.608 0.058
Tm4 0.392 0.608 0.442
Tm5 0.491 0.509 0.750
Tm6 0.509 0.491 0.250
Tm7 0.608 0.392 0.558
Tm8 0.608 0.392 0.942
Tm9 0.910 0.090 0.571
Tm10 0.910 0.090 0.929
```

What is the E in the first record? -4.582 eV per atom